# 1
PmFeBi | PBE | optimized geometry

The total magnetic moment comes out at 4.6 μB/cell. The density of states at the Fermi level is 2.77 states/eV/f.u. For the formation energy, the calculation gives -0.24 eV/f.u.

```
data_PmFeBi
_chemical_formula_sum 'Pm4 Fe4 Bi4'
_cell_length_a 6.5227
_cell_length_b 4.0084
_cell_length_c 12.3208
_cell_angle_alpha 90.00
_cell_angle_beta 101.69
_cell_angle_gamma 90.00
_space_group_name_H-M_alt 'C 1 2/m 1'
_space_group_IT_number 12
loop_
_space_group_symop_operation_xyz
'x,y,z'
'-x,-y,-z'
'-x,y,-z'
'x,-y,z'
'x+1/2,y+1/2,z'
'-x+1/2,-y+1/2,-z'
'-x+1/2,y+1/2,-z'
'x+1/2,-y+1/2,z'
loop_
_atom_site_label
_atom_site_fract_x
_atom_site_fract_y
_atom_site_fract_z
_atom_site_occupancy
Pm1 0.0665 0.0000 0.1664 1
Fe1 0.1695 0.5000 0.0014 1
Bi1 0.0550 0.5000 0.3830 1
```

# 2
Ce2H2Pb | PBE | optimized geometry

The total magnetic moment comes out at 3.8 μB/cell. The density of states at the Fermi level is 12.22 states/eV/f.u. The electronic total energy comes out at -4.991 eV/atom.

```
data_Ce2H2Pb
_chemical_formula_sum 'Ce4 H4 Pb2'
_cell_length_a 4.2175
_cell_length_b 4.2175
_cell_length_c 10.5663
_cell_angle_alpha 90.00
_cell_angle_beta 90.00
_cell_angle_gamma 90.00
_space_group_name_H-M_alt 'I 4/m m m'
_space_group_IT_number 139
_space_group_name_Hall '-I 4 2'
loop_
_atom_site_label
_atom_site_fract_x
_atom_site_fract_y
_atom_site_fract_z
_atom_site_occupancy
Ce1 0.0000 0.0000 0.1512 1
H1 0.0000 0.5000 0.2500 1
Pb1 0.0000 0.0000 0.5000 1
```

# 3
Y2AgAu | PBE | optimized geometry

The total magnetic moment comes out at 0.9 μB/cell. The density of states at the Fermi level is 2.36 states/eV/f.u. For the formation energy, the calculation gives -1.78 eV/f.u.

```
data_Y2AgAu
_chemical_formula_sum 'Y2 Ag1 Au1'
_cell_length_a 3.8229
_cell_length_b 3.8229
_cell_length_c 6.7439
_cell_angle_alpha 90.00
_cell_angle_beta 90.00
_cell_angle_gamma 90.00
_space_group_name_H-M_alt 'P 4 m m'
_space_group_IT_number 99
loop_
_space_group_symop_operation_xyz
'x,y,z'
'-y,x,z'
'-x,-y,z'
'y,-x,z'
'-x,y,z'
'y,x,z'
'x,-y,z'
'-y,-x,z'
loop_
_atom_site_label
_atom_site_fract_x
_atom_site_fract_y
_atom_site_fract_z
_atom_site_occupancy
Y1 0.0000 0.0000 0.0000 1
Y2 0.5000 0.5000 0.3453 1
Ag1 0.0000 0.0000 0.5524 1
Au1 0.5000 0.5000 0.8031 1
```

# 4
YBe2I | PBE | optimized geometry

The total magnetic moment comes out at 0.0 μB/cell. The density of states at the Fermi level is 2.70 states/eV/f.u. As for the uncorrected formation energy: 0.82 eV/atom.

```
data_YBe2I
_chemical_formula_sum 'Y4 Be8 I4'
_cell_length_a 6.8648
_cell_length_b 6.8648
_cell_length_c 6.8648
_cell_angle_alpha 90.00
_cell_angle_beta 90.00
_cell_angle_gamma 90.00
_space_group_name_H-M_alt 'F m -3 m'
_space_group_IT_number 225
_space_group_name_Hall '-F 4 2 3'
loop_
_atom_site_label
_atom_site_fract_x
_atom_site_fract_y
_atom_site_fract_z
_atom_site_occupancy
Y1 0.0000 0.0000 0.0000 1
Be1 0.2500 0.2500 0.2500 1
I1 0.0000 0.0000 0.5000 1
```